# KTa2Te

KTa2Te after structural relaxation (GGA-PBE, Alexandria via LeMat-Bulk).

Output
ΔE_f (raw) = 0.99 eV/atom
total magnetization = 0.00 Bohr magnetons per cell

abc: 3.098 3.098 10.932
angles: 90.00 90.00 113.61
Element x y z (fractional)
K  0.500  0.500  0.750
Ta  0.000  0.000  0.043
Ta  0.000  0.000  0.457
Te  0.500  0.500  0.250


# SiHg

SiHg after structural relaxation (GGA-PBE, Alexandria via LeMat-Bulk).

Output
ΔE_f (raw) = 0.59 eV/atom
total magnetization = 0.00 Bohr magnetons per cell
energy above the lowest structure with this stoichiometry = 0.89 eV per formula unit

abc: 3.079 3.079 5.368
angles: 90.00 90.00 125.29
Element x y z (fractional)
Hg  0.000  0.000  0.000
Si  0.500  0.500  0.500